w) This record from Alexandria via LeMat-Bulk describes crystalline Li2TiCu at its relaxed geometry. The functional is PBE-GGA.

Cell: 6.0590 6.0590 6.0590 Å, 90.00 90.00 90.00°
Closest atoms and distances in Å follow each position.
Space group Fm-3m (No. 225)
Inequivalent atoms, fractional coordinates:
Li (0.2500, 0.2500, 0.2500) x8  4 Cu 2.62, 4 Ti 2.62
Ti (0.0000, 0.0000, 0.0000) x4  8 Li 2.62
Cu (0.0000, 0.0000, 0.5000) x4  8 Li 2.62

Total magnetic moment = 0.0 μB/f.u.

x) This record from Alexandria via LeMat-Bulk describes crystalline Li2TiCu at its relaxed geometry. The functional is PBE-GGA.

Cell: 7.1020 7.1020 5.1562 Å, 90.00 90.00 90.00°
Closest atoms and distances in Å follow each position.
Space group I-42d (No. 122)
Inequivalent atoms, fractional coordinates:
Li (0.2114, 0.2500, 0.1250) x8  2 Cu 2.41, 2 Li 2.64
Ti (0.0000, 0.0000, 0.5000) x4  2 Cu 2.58, 4 Li 2.79
Cu (0.0000, 0.0000, 0.0000) x4  4 Li 2.41, 2 Ti 2.58

Total magnetic moment = 2.0 μB/f.u.

y) This record from Alexandria via LeMat-Bulk describes crystalline Li2TiCu at its relaxed geometry. The functional is PBE-GGA.

Cell: 2.6699 2.6699 29.1624 Å, 90.00 90.00 120.00°
Closest atoms and distances in Å follow each position.
Space group R-3m (No. 166, hexagonal axes)
Inequivalent atoms, fractional coordinates:
Li (0.0000, 0.0000, 0.0930) x6  3 Cu 2.64, 6 Li 2.67, 1 Ti 2.71
Ti (0.0000, 0.0000, 0.0000) x3  6 Ti 2.67, 2 Li 2.71
Cu (0.0000, 0.0000, 0.5000) x3  6 Li 2.64, 6 Cu 2.67

Total magnetic moment = 0.0 μB/f.u.

The structure with the greatest stability is y).

w) This record from Alexandria via LeMat-Bulk describes crystalline LiTiCu3 at its relaxed geometry. The functional is PBE-GGA.

Cell: 4.0839 4.0839 4.0839 Å, 90.00 90.00 90.00°
Closest atoms and distances in Å follow each position.
Space group Pm-3m (No. 221)
Inequivalent atoms, fractional coordinates:
Li (0.0000, 0.0000, 0.0000) x1  6 Cu 2.04
Ti (0.5000, 0.5000, 0.5000) x1  12 Cu 2.89
Cu (0.0000, 0.0000, 0.5000) x3  2 Li 2.04

Total magnetic moment = 0.0 μB/f.u.

x) This record from Alexandria via LeMat-Bulk describes crystalline LiTiCu3 at its relaxed geometry. The functional is PBE-GGA.

Cell: 4.7197 4.7197 4.7197 Å, 90.00 90.00 90.00°
Closest atoms and distances in Å follow each position.
Space group Pm-3m (No. 221)
Inequivalent atoms, fractional coordinates:
Li (0.0000, 0.0000, 0.0000) x1  12 Cu 3.34
Ti (0.5000, 0.5000, 0.5000) x1  6 Cu 2.36
Cu (0.0000, 0.5000, 0.5000) x3  2 Ti 2.36

Total magnetic moment = 0.9 μB/f.u.

The structure with the greatest stability is w).

w) This record from Alexandria via LeMat-Bulk describes crystalline LiTiCu at its relaxed geometry. The functional is PBE-GGA.

Cell: 2.8831 2.8831 11.1840 Å, 90.00 90.00 90.00°
Closest atoms and distances in Å follow each position.
Space group P4/nmm (No. 129, origin choice 2)
Inequivalent atoms, fractional coordinates:
Li (0.2500, 0.2500, 0.1032) x2  4 Cu 2.67, 4 Li 2.88
Ti (0.2500, 0.2500, 0.4136) x2  4 Cu 2.69, 8 Ti 2.81-2.88
Cu (0.2500, 0.2500, 0.7427) x2  4 Li 2.67, 4 Ti 2.69, 4 Cu 2.88

Total magnetic moment = 0.0 μB/f.u.

x) This record from Alexandria via LeMat-Bulk describes crystalline LiTiCu at its relaxed geometry. The functional is PBE-GGA.

Cell: 4.3313 8.4674 9.2008 Å, 90.00 90.00 90.00°
Closest atoms and distances in Å follow each position.
Space group Fmmm (No. 69)
Inequivalent atoms, fractional coordinates:
Li (0.2500, 0.2500, 0.2500) x8  2 Li 2.17
Ti (0.0000, 0.0000, 0.1206) x8  1 Ti 2.22
Cu (0.0000, 0.1648, 0.5000) x8  3 Cu 2.60-2.79, 4 Li 2.64, 4 Ti 2.81

Total magnetic moment = 0.2 μB/f.u.

The structure with the greatest stability is w).

w) This record from Alexandria via LeMat-Bulk describes crystalline Li2TlCu2 at its relaxed geometry. The functional is PBE-GGA.

Cell: 7.3020 7.3020 2.9895 Å, 90.00 90.00 90.00°
Closest atoms and distances in Å follow each position.
Space group P4/mbm (No. 127)
Inequivalent atoms, fractional coordinates:
Li (0.1512, 0.3488, 0.0000) x4  6 Cu 2.56-2.68, 2 Tl 2.78
Tl (0.0000, 0.0000, 0.0000) x2  4 Li 2.78, 2 Tl 2.99
Cu (0.1329, 0.6329, 0.5000) x4  6 Li 2.56-2.68, 1 Cu 2.75

Total magnetic moment = 0.0 μB/f.u.

x) This record from Alexandria via LeMat-Bulk describes crystalline Li2TlCu2 at its relaxed geometry. The functional is PBE-GGA.

Cell: 6.9428 6.9428 3.3773 Å, 90.00 90.00 90.00°
Closest atoms and distances in Å follow each position.
Space group P4/mbm (No. 127)
Inequivalent atoms, fractional coordinates:
Li (0.1684, 0.3316, 0.0000) x4  6 Cu 2.65-2.66
Tl (0.0000, 0.0000, 0.5000) x2  4 Cu 2.75
Cu (0.1242, 0.6242, 0.5000) x4  1 Cu 2.44, 6 Li 2.65-2.66

Total magnetic moment = 0.0 μB/f.u.

y) This record from Alexandria via LeMat-Bulk describes crystalline Li2TlCu2 at its relaxed geometry. The functional is PBE-GGA.

Cell: 3.9494 3.9494 11.3239 Å, 90.00 90.00 90.00°
Closest atoms and distances in Å follow each position.
Space group I4/mmm (No. 139)
Inequivalent atoms, fractional coordinates:
Li (0.0000, 0.5000, 0.2500) x4  4 Cu 2.58, 4 Li 2.79
Tl (0.0000, 0.0000, 0.0000) x2  8 Cu 3.03
Cu (0.0000, 0.0000, 0.3960) x4  1 Cu 2.36, 4 Li 2.58

Total magnetic moment = 0.0 μB/f.u.

The structure with the greatest stability is x).

w) This record from Alexandria via LeMat-Bulk describes crystalline Li3TlCu at its relaxed geometry. The functional is PBE-GGA.

Cell: 4.6724 4.6724 4.6724 Å, 90.00 90.00 90.00°
Closest atoms and distances in Å follow each position.
Space group Pm-3m (No. 221)
Inequivalent atoms, fractional coordinates:
Li (0.0000, 0.0000, 0.5000) x3  2 Cu 2.34
Tl (0.5000, 0.5000, 0.5000) x1  12 Li 3.30
Cu (0.0000, 0.0000, 0.0000) x1  6 Li 2.34

Total magnetic moment = 0.0 μB/f.u.

x) This record from Alexandria via LeMat-Bulk describes crystalline Li3TlCu at its relaxed geometry. The functional is PBE-GGA.

Cell: 5.0195 5.0195 5.0195 Å, 90.00 90.00 90.00°
Closest atoms and distances in Å follow each position.
Space group Pm-3m (No. 221)
Inequivalent atoms, fractional coordinates:
Li (0.0000, 0.0000, 0.5000) x3  2 Tl 2.51
Tl (0.0000, 0.0000, 0.0000) x1  6 Li 2.51
Cu (0.5000, 0.5000, 0.5000) x1  12 Li 3.55

Total magnetic moment = 0.0 μB/f.u.

The structure with the greatest stability is w).

w) This record from Alexandria via LeMat-Bulk describes crystalline Li4TlCu at its relaxed geometry. The functional is PBE-GGA.

Cell: 7.2798 7.2798 7.2798 Å, 90.00 90.00 90.00°
Closest atoms and distances in Å follow each position.
Space group F-43m (No. 216)
Inequivalent atoms, fractional coordinates:
Li (0.1245, 0.1245, 0.3755) x16  6 Li 2.56-2.58
Tl (0.0000, 0.0000, 0.0000) x4  12 Li 3.02, 4 Cu 3.15
Cu (0.2500, 0.2500, 0.7500) x4  12 Li 3.02, 4 Tl 3.15

Total magnetic moment = 0.7 μB/f.u.

x) This record from Alexandria via LeMat-Bulk describes crystalline Li4TlCu at its relaxed geometry. The functional is PBE-GGA.

Cell: 2.9333 4.6093 7.6884 Å, 90.00 90.19 90.00°
Closest atoms and distances in Å follow each position.
Space group Pm (No. 6)
Inequivalent atoms, fractional coordinates:
Li (0.0000, 0.0000, 0.0000) x1  6 Li 2.69-2.93, 4 Cu 2.89, 2 Tl 3.00-3.01
Li (0.0009, 0.5000, 0.4396) x1  2 Cu 2.84-2.85, 7 Li 2.91-2.94
Li (0.5023, 0.0000, 0.2990) x1  2 Cu 2.67, 8 Li 2.73-2.94, 1 Tl 2.77
Li (0.9982, 0.5000, 0.8185) x1  5 Li 2.69-2.93, 2 Cu 2.76, 4 Tl 2.99-3.00
Tl (0.4977, 0.0000, 0.6588) x1  7 Li 2.77-3.01, 2 Tl 2.93
Cu (0.5007, 0.5000, 0.1231) x1  10 Li 2.67-2.89, 2 Cu 2.93

Total magnetic moment = 0.0 μB/f.u.

The structure with the greatest stability is x).

w) This record from Alexandria via LeMat-Bulk describes crystalline LiTmCu at its relaxed geometry. The functional is PBE-GGA.

Cell: 4.4133 4.4133 3.3848 Å, 90.00 90.00 120.00°
Closest atoms and distances in Å follow each position.
Space group P-6m2 (No. 187)
Inequivalent atoms, fractional coordinates:
Li (0.0000, 0.0000, 0.0000) x1  3 Cu 2.55
Tm (0.3333, 0.6667, 0.5000) x1  6 Li 3.06, 6 Cu 3.06, 2 Tm 3.38
Cu (0.6667, 0.3333, 0.0000) x1  3 Li 2.55

Total magnetic moment = 0.0 μB/f.u.

x) This record from Alexandria via LeMat-Bulk describes crystalline LiTmCu at its relaxed geometry. The functional is PBE-GGA.

Cell: 7.1750 3.8658 12.5297 Å, 90.00 91.60 90.00°
Closest atoms and distances in Å follow each position.
Space group P2_1/m (No. 11)
Inequivalent atoms, fractional coordinates:
Li (0.0098, 0.2500, 0.0791) x2  4 Cu 2.63-2.82, 2 Li 2.77
Li (0.1262, 0.7500, 0.5383) x2  4 Cu 2.65-2.82, 2 Li 2.80
Li (0.3756, 0.2500, 0.2008) x2  4 Cu 2.57-2.86
Tm (0.0577, 0.7500, 0.2846) x2  5 Cu 2.89-2.96, 5 Li 3.19-3.23
Tm (0.3404, 0.2500, 0.9143) x2  5 Cu 2.88-2.93, 5 Li 3.17-3.19
Tm (0.4531, 0.2500, 0.6245) x2  5 Cu 2.90-2.95, 4 Li 3.14-3.20
Cu (0.2381, 0.7500, 0.7500) x2  3 Li 2.75-2.82, 6 Tm 2.89-2.95
Cu (0.2567, 0.2500, 0.4166) x2  4 Li 2.65-2.86, 5 Tm 2.89-2.93
Cu (0.2584, 0.7500, 0.0818) x2  5 Li 2.57-2.75

Total magnetic moment = 0.0 μB/f.u.

The structure with the greatest stability is x).

w) This record from Alexandria via LeMat-Bulk describes crystalline LiTmCu2 at its relaxed geometry. The functional is PBE-GGA.

Cell: 3.3265 3.3265 6.0716 Å, 90.00 90.00 90.00°
Closest atoms and distances in Å follow each position.
Space group P4/mmm (No. 123)
Inequivalent atoms, fractional coordinates:
Li (0.0000, 0.0000, 0.0000) x1  8 Cu 2.68
Tm (0.0000, 0.0000, 0.5000) x1  8 Cu 2.93, 2 Li 3.04
Cu (0.5000, 0.5000, 0.2118) x2  1 Cu 2.57, 4 Li 2.68

Total magnetic moment = 0.0 μB/f.u.

x) This record from Alexandria via LeMat-Bulk describes crystalline LiTmCu2 at its relaxed geometry. The functional is PBE-GGA.

Cell: 4.2615 4.2615 13.1844 Å, 90.00 90.00 120.00°
Closest atoms and distances in Å follow each position.
Space group R-3m (No. 166, hexagonal axes)
Inequivalent atoms, fractional coordinates:
Li (0.0000, 0.0000, 0.0000) x3  6 Cu 2.53
Tm (0.0000, 0.0000, 0.5000) x3  8 Cu 2.78-2.94
Cu (0.0000, 0.0000, 0.2890) x6  3 Li 2.53, 3 Cu 2.72, 1 Tm 2.78

Total magnetic moment = 0.0 μB/f.u.

y) This record from Alexandria via LeMat-Bulk describes crystalline LiTmCu2 at its relaxed geometry. The functional is PBE-GGA.

Cell: 4.5772 4.5772 3.3367 Å, 90.00 90.00 90.00°
Closest atoms and distances in Å follow each position.
Space group P4/mmm (No. 123)
Inequivalent atoms, fractional coordinates:
Li (0.0000, 0.0000, 0.0000) x1  8 Cu 2.83
Tm (0.5000, 0.5000, 0.0000) x1  8 Cu 2.83
Cu (0.0000, 0.5000, 0.5000) x2  4 Li 2.83, 4 Tm 2.83

Total magnetic moment = 0.0 μB/f.u.

The structure with the greatest stability is x).

w) This record from Alexandria via LeMat-Bulk describes crystalline Li2TmCu9 at its relaxed geometry. The functional is PBE-GGA.

Cell: 8.2752 8.2752 4.8952 Å, 90.00 90.00 90.00°
Closest atoms and distances in Å follow each position.
Space group P4/mbm (No. 127)
Inequivalent atoms, fractional coordinates:
Li (0.1148, 0.3852, 0.0000) x4  12 Cu 2.66-2.89, 1 Li 2.69
Tm (0.0000, 0.0000, 0.0000) x2  16 Cu 3.03-3.26, 4 Li 3.33
Cu (0.0000, 0.5000, 0.5000) x2  8 Cu 2.47
Cu (0.0601, 0.2075, 0.5000) x8  8 Cu 2.47-2.72
Cu (0.1814, 0.6814, 0.2414) x8  7 Cu 2.36-2.54

Total magnetic moment = 0.0 μB/f.u.

x) This record from Alexandria via LeMat-Bulk describes crystalline Li2TmCu9 at its relaxed geometry. The functional is PBE-GGA.

Cell: 4.9388 4.9388 24.3806 Å, 90.00 90.00 120.00°
Closest atoms and distances in Å follow each position.
Space group R-3m (No. 166, hexagonal axes)
Inequivalent atoms, fractional coordinates:
Li (0.0000, 0.0000, 0.1474) x6  12 Cu 2.85-2.91, 3 Li 3.00
Tm (0.0000, 0.0000, 0.0000) x3  6 Cu 2.85
Cu (0.0000, 0.0000, 0.3326) x6  6 Cu 2.49-2.52
Cu (0.0000, 0.0000, 0.5000) x3  6 Cu 2.46
Cu (0.0012, 0.5006, 0.9155) x18  7 Cu 2.46-2.52

Total magnetic moment = 0.0 μB/f.u.

The structure with the greatest stability is x).

w) This record from Alexandria via LeMat-Bulk describes crystalline LiV2Cu2 at its relaxed geometry. The functional is PBE-GGA.

Cell: 7.5603 7.5603 2.4711 Å, 90.00 90.00 90.00°
Closest atoms and distances in Å follow each position.
Space group P4/mbm (No. 127)
Inequivalent atoms, fractional coordinates:
Li (0.0000, 0.0000, 0.0000) x2  2 Li 2.47
V (0.1155, 0.3845, 0.0000) x4  3 V 2.47, 6 Cu 2.52-2.59
Cu (0.1787, 0.6787, 0.5000) x4  2 Cu 2.47, 6 V 2.52-2.59

Total magnetic moment = 0.0 μB/f.u.

x) This record from Alexandria via LeMat-Bulk describes crystalline LiV2Cu2 at its relaxed geometry. The functional is PBE-GGA.

Cell: 7.4164 7.4164 2.5171 Å, 90.00 90.00 90.00°
Closest atoms and distances in Å follow each position.
Space group P4/mbm (No. 127)
Inequivalent atoms, fractional coordinates:
Li (0.0000, 0.0000, 0.0000) x2  2 Li 2.52
V (0.1704, 0.3296, 0.5000) x4  6 Cu 2.50-2.54, 2 V 2.52
Cu (0.1242, 0.6242, 0.0000) x4  6 V 2.50-2.54, 3 Cu 2.52-2.60

Total magnetic moment = 0.0 μB/f.u.

The structure with the greatest stability is w).

w) This record from Alexandria via LeMat-Bulk describes crystalline LiV2Cu at its relaxed geometry. The functional is PBE-GGA.

Cell: 6.8630 6.8630 4.5767 Å, 90.00 90.00 90.00°
Closest atoms and distances in Å follow each position.
Space group I-42d (No. 122)
Inequivalent atoms, fractional coordinates:
Li (0.0000, 0.0000, 0.0000) x4  2 Cu 2.29, 4 V 2.53
V (0.2430, 0.2500, 0.6250) x8  2 V 2.29, 2 Cu 2.46, 2 Li 2.53
Cu (0.0000, 0.0000, 0.5000) x4  2 Li 2.29, 4 V 2.46

Total magnetic moment = 0.0 μB/f.u.

x) This record from Alexandria via LeMat-Bulk describes crystalline LiV2Cu at its relaxed geometry. The functional is PBE-GGA.

Cell: 5.9187 5.9187 5.9187 Å, 90.00 90.00 90.00°
Closest atoms and distances in Å follow each position.
Space group Fm-3m (No. 225)
Inequivalent atoms, fractional coordinates:
Li (0.0000, 0.0000, 0.0000) x4  8 V 2.56
V (0.2500, 0.2500, 0.2500) x8  4 Li 2.56, 4 Cu 2.56
Cu (0.0000, 0.0000, 0.5000) x4  8 V 2.56

Total magnetic moment = 0.0 μB/f.u.

The structure with the greatest stability is x).